1.
Rb2Pb2F7 | GGA-PBE | optimized geometry

E_form (uncorrected) (eV/atom): -2.40
Total energy (eV for the cell shown): -48.90

Cell lengths 5.9554, 6.3699, 5.9554 Å; angles 90.00, 96.18, 90.00 degrees
Positions (direct):
F1 0.5000 0.2235 0.0000
Rb1 0.2408 0.5000 0.2408
F2 0.5000 0.7765 0.0000
F3 0.5000 0.7901 0.5000
Pb1 0.2741 0.0000 0.7259
Rb2 0.7592 0.5000 0.7592
F4 0.0000 0.7765 0.5000
F5 0.5000 0.2099 0.5000
F6 0.0000 0.0000 0.0000
Pb2 0.7259 0.0000 0.2741
F7 0.0000 0.2235 0.5000

***

2.
RbPbF3 | GGA-PBE | optimized geometry

E_form (uncorrected) (eV/atom): -2.44
Total energy (eV for the cell shown): -44.93

Cell lengths 7.1699, 7.1699, 7.1699 Å; angles 105.53, 113.49, 109.50 degrees
Positions (direct):
F1 0.5000 0.7768 0.2768
Pb1 0.5000 0.5254 0.0254
F2 0.4303 0.7276 0.7973
Rb1 0.2500 0.9781 0.2281
Pb2 0.0000 0.5254 0.5254
F3 0.0000 0.7768 0.7768
F4 0.9303 0.7276 0.2973
F5 0.5697 0.3670 0.2973
Rb2 0.7500 0.9781 0.7281
F6 0.0697 0.3670 0.7973

***

3.
RbPbF6 | GGA-PBE | optimized geometry

E_form (uncorrected) (eV/atom): -1.88
Total energy (eV for the cell shown): -30.96

Cell lengths 5.3333, 5.3333, 5.3333 Å; angles 95.93, 95.93, 95.93 degrees
Site moments in Bohr magnetons follow the coordinates.
Positions (direct):
F1 0.5838 0.2209 0.2209  0.16
Rb1 0.0000 0.0000 0.0000  0.00
F2 0.2209 0.2209 0.5838  0.16
Pb1 0.5000 0.5000 0.5000  -0.02
F3 0.2209 0.5838 0.2209  0.16
F4 0.4162 0.7791 0.7791  0.16
F5 0.7791 0.4162 0.7791  0.16
F6 0.7791 0.7791 0.4162  0.16

***

4.
Rb4Pb3F10 | GGA-PBE | optimized geometry

E_form (uncorrected) (eV/atom): -2.52
Total energy (eV for the cell shown): -76.46

Cell lengths 4.8623, 4.8623, 17.2241 Å; angles 98.11, 98.11, 90.00 degrees
Positions (direct):
F1 0.5000 0.0000 0.0000
F2 0.0718 0.0718 0.1436
F3 0.6461 0.1461 0.2921
Rb1 0.4301 0.4301 0.8602
F4 0.3539 0.8539 0.7079
Pb1 0.1458 0.1458 0.2916
Pb2 0.8542 0.8542 0.7084
Rb2 0.7045 0.7045 0.4090
F5 0.8539 0.3539 0.7079
F6 0.2162 0.2162 0.4323
F7 0.7838 0.7838 0.5677
F8 0.1461 0.6461 0.2921
Rb3 0.5699 0.5699 0.1398
F9 0.9282 0.9282 0.8564
F10 0.0000 0.5000 0.0000
Rb4 0.2955 0.2955 0.5910
Pb3 0.0000 0.0000 0.0000

***

Question: Among the records above, which one has the lowest E_form (uncorrected)?
Answer: Rb4Pb3F10

***

Question: Among the records above, which one has the lowest E_form (uncorrected)?
Answer: Rb4Pb3F10

***

Question: E_form (uncorrected) of number 4 (Rb4Pb3F10)?
Answer: -2.52 eV/atom